Entry 1:
The following is a DFT calculation (GGA-PBE) of crystalline Dy2Fe15Co2 at its relaxed geometry.

Properties
- uncorrected energy (eV per atom) = -7.923
- E_form (eV/atom) = -0.010
- volume (Å³ per atom) = 13.4
- space-group type = R-3m, No. 166

a = 6.390 Å, b = 6.390 Å, c = 6.390 Å
α = 82.36°, β = 82.36°, γ = 82.36°
Fractional positions:
Dy 0.340 0.340 0.340
Dy 0.660 0.660 0.660
Fe 0.500 0.000 0.000
Fe 0.000 0.000 0.500
Fe 0.000 0.500 0.000
Fe 0.000 0.701 0.299
Fe 0.701 0.299 0.000
Fe 0.299 0.000 0.701
Fe 0.299 0.701 0.000
Fe 0.701 0.000 0.299
Fe 0.000 0.299 0.701
Fe 0.157 0.658 0.658
Fe 0.658 0.658 0.157
Fe 0.658 0.157 0.658
Fe 0.843 0.342 0.342
Fe 0.342 0.342 0.843
Fe 0.342 0.843 0.342
Co 0.093 0.093 0.093
Co 0.907 0.907 0.907

=====

Entry 2:
The following is a DFT calculation (GGA-PBE) of crystalline PrErIn6 at its relaxed geometry.

Properties
- uncorrected energy (eV per atom) = -3.590
- E_form (eV/atom) = -0.368
- volume (Å³ per atom) = 25.7
- ΔE to the lowest computed polymorph (meV per atom) = 61
- space-group type = P-6m2, No. 187

a = 5.318 Å, b = 6.681 Å, c = 6.681 Å
α = 119.99°, β = 90.00°, γ = 90.00°
Fractional positions:
Pr 0.500 0.417 0.583
Er 0.000 0.083 0.917
In 0.000 0.065 0.407
In 0.000 0.593 0.935
In 0.000 0.592 0.408
In 0.500 0.424 0.087
In 0.500 0.913 0.576
In 0.500 0.913 0.087

=====

Entry 3:
The following is a DFT calculation (GGA-PBE) of crystalline LiPbSe2 at its relaxed geometry.

Properties
- formation energy (no corrections) (meV per atom) = -531
- uncorrected energy (eV per atom) = -3.679
- volume (Å³ per atom) = 24.3
- space-group type = Imm2, No. 44

a = 7.209 Å, b = 7.209 Å, c = 7.209 Å
α = 150.05°, β = 148.59°, γ = 43.96°
Fractional positions:
Li 0.535 0.535 0.000
Pb 0.800 0.300 0.500
Se 0.971 0.971 0.000
Se 0.193 0.693 0.500

=====

Q: Look up the uncorrected energy of the first one.
A: -7.923 eV per atom

=====

What did the first record say?
The following is a DFT calculation (GGA-PBE) of crystalline Dy2Fe15Co2 at its relaxed geometry.

Properties
- uncorrected energy (eV per atom) = -7.923
- E_form (eV/atom) = -0.010
- volume (Å³ per atom) = 13.4
- space-group type = R-3m, No. 166

a = 6.390 Å, b = 6.390 Å, c = 6.390 Å
α = 82.36°, β = 82.36°, γ = 82.36°
Fractional positions:
Dy 0.340 0.340 0.340
Dy 0.660 0.660 0.660
Fe 0.500 0.000 0.000
Fe 0.000 0.000 0.500
Fe 0.000 0.500 0.000
Fe 0.000 0.701 0.299
Fe 0.701 0.299 0.000
Fe 0.299 0.000 0.701
Fe 0.299 0.701 0.000
Fe 0.701 0.000 0.299
Fe 0.000 0.299 0.701
Fe 0.157 0.658 0.658
Fe 0.658 0.658 0.157
Fe 0.658 0.157 0.658
Fe 0.843 0.342 0.342
Fe 0.342 0.342 0.843
Fe 0.342 0.843 0.342
Co 0.093 0.093 0.093
Co 0.907 0.907 0.907

=====

Repeat the third record exactly.
The following is a DFT calculation (GGA-PBE) of crystalline LiPbSe2 at its relaxed geometry.

Properties
- formation energy (no corrections) (meV per atom) = -531
- uncorrected energy (eV per atom) = -3.679
- volume (Å³ per atom) = 24.3
- space-group type = Imm2, No. 44

a = 7.209 Å, b = 7.209 Å, c = 7.209 Å
α = 150.05°, β = 148.59°, γ = 43.96°
Fractional positions:
Li 0.535 0.535 0.000
Pb 0.800 0.300 0.500
Se 0.971 0.971 0.000
Se 0.193 0.693 0.500